No. 1
Compound: Er4PSeS2
Source: Alexandria via LeMat-Bulk
Functional: PBE
Structure: relaxed

```
Er4PSeS2
1.0
3.925 0.000 0.000
0.000 6.777 -0.130
0.000 2.392 6.448
Se Er S P
1 4 2 1
Direct
0.500 0.500 0.000
0.500 0.252 0.735
0.000 0.240 0.270
0.500 0.748 0.265
0.000 0.760 0.730
0.000 0.000 0.000
0.500 0.000 0.500
0.000 0.500 0.500
```


No. 2
Compound: Ta2BeFe
Source: Alexandria via LeMat-Bulk
Functional: PBE
Structure: relaxed

```
Ta2BeFe
1.0
-4.194 -0.667 0.839
-1.919 -3.646 -1.326
-1.179 -3.000 2.889
Ta Fe Be
2 1 1
Direct
0.250 0.250 0.250
0.000 0.000 0.000
0.750 0.750 0.750
0.500 0.500 0.500
```

E_form: 0.321 eV/atom


No. 3
Compound: Na2SrScF8
Source: Alexandria via LeMat-Bulk
Functional: PBE
Structure: relaxed

```
Na2SrScF8
1.0
3.903 -0.025 -0.002
0.025 5.579 -0.006
0.004 0.008 7.690
Na F Sc Sr
2 8 1 1
Direct
0.500 0.500 0.240
0.500 0.500 0.760
0.001 0.768 0.212
0.501 0.261 0.500
0.502 0.787 0.000
0.499 0.739 0.500
0.498 0.213 0.000
0.999 0.232 0.212
0.001 0.768 0.788
0.999 0.232 0.788
0.000 0.000 0.000
0.000 0.000 0.500
```


No. 4
Compound: CoCN
Source: Alexandria via LeMat-Bulk
Functional: PBE
Structure: relaxed

```
CoCN
1.0
2.400 -0.001 0.001
-1.182 2.954 -0.001
-0.009 -1.076 3.625
Co C N
1 1 1
Direct
0.522 0.990 0.169
0.843 0.631 0.444
0.430 0.807 0.643
```

Energy above the most stable polymorph in this dataset: 0.1605 eV/atom


No. 5
Compound: Ba3SrRh
Source: Alexandria via LeMat-Bulk
Functional: PBE
Structure: relaxed

```
Ba3SrRh
1.0
-4.498 4.032 1.588
-1.653 -3.711 4.744
4.006 2.996 3.739
Ba Rh Sr
3 1 1
Direct
0.500 0.000 0.000
0.000 0.000 0.500
0.000 0.500 0.000
0.000 0.000 0.000
0.500 0.500 0.500
```

Energy above the most stable polymorph in this dataset: 0.0165 eV/atom
E_form: -0.117 eV/atom


No. 6
Compound: Sm4Y19Ho6
Source: Alexandria via LeMat-Bulk
Functional: PBE
Structure: relaxed

```
Sm4Y19Ho6
1.0
-1.092 5.591 -9.205
10.170 0.916 3.593
-2.258 -10.429 -1.823
Y Ho Sm
19 6 4
Direct
0.545 0.205 0.218
0.987 0.328 0.782
0.672 0.660 0.455
0.000 0.262 0.262
0.262 0.262 0.000
0.455 0.672 0.660
0.660 0.455 0.672
0.013 0.795 0.340
0.328 0.782 0.987
0.738 0.000 0.738
0.205 0.218 0.545
0.000 0.738 0.738
0.000 0.000 0.000
0.738 0.738 0.000
0.218 0.545 0.205
0.340 0.013 0.795
0.782 0.987 0.328
0.262 0.000 0.262
0.795 0.340 0.013
0.624 0.500 0.124
0.376 0.500 0.876
0.876 0.376 0.500
0.500 0.876 0.376
0.500 0.124 0.624
0.124 0.624 0.500
0.000 0.000 0.641
0.000 0.641 0.000
0.359 0.359 0.359
0.641 0.000 0.000
```

E_form: 0.385 eV/atom


No. 7
Compound: AcPm2PrDy
Source: Alexandria via LeMat-Bulk
Functional: PBE
Structure: relaxed

```
AcPm2PrDy
1.0
-7.047 1.475 1.716
1.200 -3.156 7.639
1.060 7.140 -1.783
Ac Pm Dy Pr
2 4 2 2
Direct
0.750 0.243 0.485
0.250 0.757 0.515
0.500 0.305 0.000
0.000 0.695 0.000
0.500 0.695 0.000
0.000 0.305 0.000
0.750 0.692 0.383
0.250 0.308 0.617
0.250 0.061 0.121
0.750 0.939 0.879
```

E_form: 0.337 eV/atom


No. 8
Compound: CdPRu2
Source: Alexandria via LeMat-Bulk
Functional: PBE
Structure: relaxed

```
CdPRu2
1.0
8.215 -1.463 -0.012
8.215 1.463 -0.012
7.958 0.000 2.508
P Cd Ru
1 1 2
Direct
0.000 0.000 0.000
0.500 0.500 0.500
0.735 0.735 0.735
0.265 0.265 0.265
```

Energy above the most stable polymorph in this dataset: 0.0381 eV/atom
E_form: -0.089 eV/atom


No. 9
Compound: ZrCdSi2
Source: Alexandria via LeMat-Bulk
Functional: PBE
Structure: relaxed

```
ZrCdSi2
1.0
7.372 0.005 0.012
-3.057 3.852 -0.040
1.259 1.032 2.591
Zr Cd Si
1 1 2
Direct
0.000 0.500 0.500
0.500 0.500 0.000
0.500 0.000 0.500
0.000 0.000 0.000
```


No. 10
Compound: Ba3Na2Li4Au2
Source: Alexandria via LeMat-Bulk
Functional: PBE
Structure: relaxed

```
Ba3Na2Li4Au2
1.0
-3.446 -1.200 -2.912
4.383 -1.336 -0.893
-3.014 -16.945 10.550
Ba Au Li Na
3 2 4 2
Direct
0.000 0.000 0.772
0.000 0.000 0.000
0.000 0.000 0.228
0.333 0.667 0.118
0.667 0.333 0.882
0.333 0.667 0.361
0.333 0.667 0.886
0.667 0.333 0.639
0.667 0.333 0.114
0.333 0.667 0.557
0.667 0.333 0.443
```

E_form: -0.208 eV/atom


No. 11
Compound: NbGeTe
Source: Alexandria via LeMat-Bulk
Functional: PBE
Structure: relaxed

```
NbGeTe
1.0
-4.206 -0.889 1.645
-0.294 -2.311 -2.000
3.930 -6.266 6.663
Ge Te Nb
2 2 2
Direct
0.500 0.000 0.591
0.500 0.500 0.091
0.000 0.000 0.271
0.000 0.500 0.771
0.500 0.000 0.870
0.500 0.500 0.370
```


No. 12
Compound: CaPmPu
Source: Alexandria via LeMat-Bulk
Functional: PBE
Structure: relaxed

```
CaPmPu
1.0
3.858 -0.049 -0.664
1.944 2.986 -0.470
-1.127 -0.279 16.545
Pu Ca Pm
2 2 2
Direct
0.693 0.227 0.753
0.279 0.907 0.680
0.988 0.762 0.318
0.214 0.907 0.117
0.436 0.066 0.916
0.528 0.083 0.517
```

Energy above the most stable polymorph in this dataset: 0.0000 eV/atom
E_form: 0.080 eV/atom


Number 1: DFT total energy -6.278 eV/atom, magnetic moment 0.000 μB/atom, DOS(E_F) 2.6 states/eV/f.u.. Number 2: DFT total energy -8.652 eV/atom, magnetic moment 0.453 μB/atom, DOS(E_F) 3.6 states/eV/f.u.. Number 3: DFT total energy -5.310 eV/atom, magnetic moment 0.091 μB/atom, DOS(E_F) 9.7 states/eV/f.u.. Number 4: DFT total energy -7.687 eV/atom, magnetic moment 0.000 μB/atom, DOS(E_F) 1.0 states/eV/f.u.. Number 5: DFT total energy -3.077 eV/atom, magnetic moment 0.000 μB/atom, DOS(E_F) 4.5 states/eV/f.u.. Number 6: DFT total energy -5.448 eV/atom, magnetic moment 0.000 μB/atom, DOS(E_F) 43.9 states/eV/f.u.. Number 7: DFT total energy -4.261 eV/atom, magnetic moment 0.000 μB/atom, DOS(E_F) 6.8 states/eV/f.u.. Number 8: DFT total energy -6.308 eV/atom, magnetic moment 0.004 μB/atom, DOS(E_F) 5.0 states/eV/f.u.. Number 9: DFT total energy -5.138 eV/atom, magnetic moment 0.000 μB/atom, DOS(E_F) 1.8 states/eV/f.u.. Number 10: DFT total energy -2.264 eV/atom, magnetic moment 0.000 μB/atom, DOS(E_F) 6.6 states/eV/f.u.. Number 11: DFT total energy -5.783 eV/atom, magnetic moment 0.000 μB/atom, DOS(E_F) 2.3 states/eV/f.u.. Number 12: DFT total energy -6.948 eV/atom, magnetic moment 0.017 μB/atom, DOS(E_F) 5.7 states/eV/f.u..